1.
YPaPb | GGA-PBE | optimized geometry

Energy above the lowest structure with this stoichiometry (meV/atom): 284.6
ΔE_f (eV/atom): 0.130
Total magnetic moment (μB/atom): 0.308

Lattice parameters (Å, degrees): 4.040 4.040 5.953 109.84 109.84 90.00
Fractional coordinates of all 3 atoms:
Pb 0.287 0.287 0.573
Y 0.937 0.937 0.873
Pa 0.627 0.627 0.254

=====

2.
NdCdAsO5 | GGA-PBE | optimized geometry

Total magnetic moment (μB/atom): 0.000
DFT total energy (eV per atom): -6.29

Lattice parameters (Å, degrees): 6.265 6.265 8.370 108.77 108.77 94.99
Fractional coordinates of all 16 atoms:
Nd 0.000 0.000 0.000
O 0.302 0.348 0.644
Cd 0.677 0.323 0.750
O 0.652 0.698 0.856
O 0.224 0.725 0.905
O 0.725 0.224 0.405
O 0.776 0.275 0.095
As 0.647 0.353 0.250
Cd 0.323 0.677 0.250
O 0.275 0.776 0.595
O 0.698 0.652 0.356
O 0.348 0.302 0.144
As 0.353 0.647 0.750
O 0.102 0.898 0.250
O 0.898 0.102 0.750
Nd 0.000 0.000 0.500